# 1
Computed, not measured: crystalline NaHfCrO2 at its relaxed geometry at the PBE+U level of DFT. Values from VASP.

Geometry as Quantum ESPRESSO input:
```
&SYSTEM
  ibrav = 0, nat = 5, ntyp = 4
/
ATOMIC_SPECIES
Cr 52.00 Cr.upf
Hf 178.49 Hf.upf
O 16.00 O.upf
Na 22.99 Na.upf
CELL_PARAMETERS angstrom
-2.972 1.839 -1.909
-2.972 -0.473 4.170
1.316 3.513 1.336
ATOMIC_POSITIONS crystal
Cr 0.000 0.000 0.000
Hf 0.000 0.500 0.000
O 0.000 0.000 0.500
O 0.500 0.000 0.000
Na 0.500 0.500 0.500
```

N(E_F): 3.864 states/eV/f.u.
spin magnetization: 2.58 Bohr magnetons per cell
calculated density: 5.81 g/cm3
V: 16.31 Å³ per atom
E_tot: -27.87 eV per cell
space-group type: P4/mmm, No. 123


# 2
Computed, not measured: crystalline NaHfCr2O8 at its relaxed geometry at the PBE+U level of DFT. Values from VASP.

Geometry as Quantum ESPRESSO input:
```
&SYSTEM
  ibrav = 0, nat = 12, ntyp = 4
/
ATOMIC_SPECIES
Na 22.99 Na.upf
Hf 178.49 Hf.upf
Cr 52.00 Cr.upf
O 16.00 O.upf
CELL_PARAMETERS angstrom
-2.970 -4.908 -0.862
3.242 1.873 -4.431
3.689 -1.095 4.341
ATOMIC_POSITIONS crystal
Na 0.250 0.750 0.500
Hf 0.000 0.000 0.000
Cr 0.750 0.250 0.500
Cr 0.500 0.500 0.000
O 0.386 0.091 0.294
O 0.322 0.503 0.180
O 0.322 0.142 0.820
O 0.797 0.091 0.706
O 0.858 0.678 0.180
O 0.909 0.203 0.294
O 0.909 0.614 0.706
O 0.497 0.678 0.820
```

N(E_F): 2.079 states/eV/f.u.
spin magnetization: 1.00 Bohr magnetons per cell
calculated density: 4.84 g/cm3
V: 12.38 Å³ per atom
E_tot: -87.89 eV per cell
space-group type: I-4m2, No. 119